No. 1
# GGA-PBE ZrAlHg3, relaxed
data_ZrAlHg3
_cell_length_a 4.985
_cell_length_b 4.985
_cell_length_c 4.985
_cell_angle_alpha 90.00
_cell_angle_beta 90.00
_cell_angle_gamma 90.00
_space_group_name_H-M_alt 'P 1'
_space_group_IT_number 1
loop_
_space_group_symop_operation_xyz
'x,y,z'
loop_
_atom_site_label
_atom_site_fract_x
_atom_site_fract_y
_atom_site_fract_z
_atom_site_occupancy
Zr1 0.000 0.000 0.000 1
Al1 0.500 0.500 0.500 1
Hg1 0.000 0.500 0.500 1
Hg2 0.500 0.000 0.500 1
Hg3 0.500 0.500 0.000 1
# calculated total energy: -2.109 eV per atom
# energy relative to the elements: 2.65 eV/f.u.
# total moment: 0.000 μB/cell

---

No. 2
# GGA-PBE KYHfCr2, relaxed
data_KYHfCr2
_cell_length_a 5.006
_cell_length_b 5.006
_cell_length_c 5.207
_cell_angle_alpha 90.00
_cell_angle_beta 90.00
_cell_angle_gamma 90.00
_space_group_name_H-M_alt 'P 1'
_space_group_IT_number 1
loop_
_space_group_symop_operation_xyz
'x,y,z'
loop_
_atom_site_label
_atom_site_fract_x
_atom_site_fract_y
_atom_site_fract_z
_atom_site_occupancy
K1 0.000 0.000 0.000 1
Y1 0.000 0.000 0.500 1
Hf1 0.500 0.500 0.000 1
Cr1 0.000 0.500 0.500 1
Cr2 0.500 0.000 0.500 1
# calculated total energy: -5.414 eV per atom
# energy relative to the elements: 9.69 eV/f.u.
# total moment: 6.439 μB/cell

---

No. 3
# GGA-PBE ThAl2SiTc2, relaxed
data_ThAl2SiTc2
_cell_length_a 4.505
_cell_length_b 4.505
_cell_length_c 5.686
_cell_angle_alpha 90.00
_cell_angle_beta 90.00
_cell_angle_gamma 90.00
_space_group_name_H-M_alt 'P 1'
_space_group_IT_number 1
loop_
_space_group_symop_operation_xyz
'x,y,z'
loop_
_atom_site_label
_atom_site_fract_x
_atom_site_fract_y
_atom_site_fract_z
_atom_site_occupancy
Th1 0.000 0.000 0.000 1
Al1 0.500 0.500 0.244 1
Al2 0.500 0.500 0.756 1
Si1 0.000 0.000 0.500 1
Tc1 0.000 0.500 0.500 1
Tc2 0.500 0.000 0.500 1
# calculated total energy: -7.181 eV per atom
# energy relative to the elements, uncorrected: -0.338 eV per atom
# total moment: 0.000 μB/cell

---

No. 4
# GGA-PBE Er6Pt5, relaxed
data_Er6Pt5
_cell_length_a 8.461
_cell_length_b 8.461
_cell_length_c 8.461
_cell_angle_alpha 146.64
_cell_angle_beta 131.77
_cell_angle_gamma 59.91
_space_group_name_H-M_alt 'P 1'
_space_group_IT_number 1
loop_
_space_group_symop_operation_xyz
'x,y,z'
loop_
_atom_site_label
_atom_site_fract_x
_atom_site_fract_y
_atom_site_fract_z
_atom_site_occupancy
Er1 0.083 0.334 0.749 1
Er2 0.248 0.000 0.248 1
Er3 0.414 0.666 0.749 1
Er4 0.586 0.334 0.251 1
Er5 0.752 0.000 0.752 1
Er6 0.917 0.666 0.251 1
Pt1 0.000 0.500 0.500 1
Pt2 0.173 0.173 0.000 1
Pt3 0.338 0.838 0.500 1
Pt4 0.662 0.162 0.500 1
Pt5 0.827 0.827 0.000 1
# calculated total energy: -6.406 eV per atom
# energy relative to the elements: -12.89 eV/f.u.
# total moment: 0.000 μB/cell